VASP calculation (PBE-GGA) on a relaxed structure of Ac2Tl3Cu.

abc: 10.0902 9.6766 6.5199
angles: 74.21 67.34 38.45
Fractional positions:
Ac  0.2495  0.7505  0.7505
Ac  0.2500  0.2500  0.2500
Ac  0.7500  0.7500  0.7500
Ac  0.7505  0.2495  0.2495
Tl  0.1498  0.6745  0.3255
Tl  0.3243  0.3243  0.6757
Tl  0.3255  0.8502  0.1498
Tl  0.6745  0.1498  0.8502
Tl  0.6757  0.6757  0.3243
Tl  0.8502  0.3255  0.6745
Cu  0.1671  0.1671  0.8329
Cu  0.8329  0.8329  0.1671

Output
**Offset from the most stable computed form**: 5 meV/atom
**Total moment**: 0.0 μB per cell

VASP calculation (PBE-GGA) on a relaxed structure of Tm3Ag2Pt.

abc: 4.9825 4.9825 6.1402
angles: 90.00 90.00 120.00
Fractional positions:
Tm  0.0000  0.0000  0.0000
Tm  0.3333  0.6667  0.6492
Tm  0.6667  0.3333  0.3508
Ag  0.3333  0.6667  0.1456
Ag  0.6667  0.3333  0.8544
Pt  0.0000  0.0000  0.5000

Output
**Offset from the most stable computed form**: 0 meV/atom
**Total moment**: 0.0 μB per cell

VASP calculation (PBE-GGA) on a relaxed structure of HoHg3.

abc: 5.1178 5.1178 5.1178
angles: 60.00 60.00 60.00
Fractional positions:
Ho  0.0000  0.0000  0.0000
Hg  0.2500  0.2500  0.2500
Hg  0.5000  0.5000  0.5000
Hg  0.7500  0.7500  0.7500

Output
**E_tot**: -1.667 eV per atom
**Total moment**: 0.0 μB per cell

VASP calculation (PBE-GGA) on a relaxed structure of CaZr2SnN.

abc: 4.5111 4.5111 4.8576
angles: 90.00 90.00 90.00
Fractional positions:
Ca  0.0000  0.0000  0.0000
Zr  0.0000  0.5000  0.5000
Zr  0.5000  0.0000  0.5000
Sn  0.5000  0.5000  0.0000
N  0.0000  0.0000  0.5000

Output
**Raw formation energy**: -4.01 eV per formula unit
**Total moment**: 0.0 μB per cell

VASP calculation (PBE-GGA) on a relaxed structure of AlSi2Ir.

abc: 4.3243 4.3243 4.3243
angles: 60.00 60.00 60.00
Fractional positions:
Al  0.0000  0.0000  0.0000
Si  0.5000  0.5000  0.5000
Si  0.7500  0.7500  0.7500
Ir  0.2500  0.2500  0.2500

Output
**Offset from the most stable computed form**: 152 meV/atom
**Raw formation energy**: -0.20 eV per formula unit
**Total moment**: 0.0 μB per cell

VASP calculation (PBE-GGA) on a relaxed structure of MgP2Pd4.

abc: 6.4916 6.4916 4.2769
angles: 90.00 90.00 142.00
Fractional positions:
Mg  0.0000  0.0000  0.0000
P  0.4117  0.5883  0.5000
P  0.5883  0.4117  0.5000
Pd  0.1688  0.8312  0.5000
Pd  0.3367  0.6633  0.0000
Pd  0.6633  0.3367  0.0000
Pd  0.8312  0.1688  0.5000

Output
**Offset from the most stable computed form**: 0 meV/atom
**Total moment**: 0.0 μB per cell

VASP calculation (PBE-GGA) on a relaxed structure of SbAsSe2N.

abc: 5.2343 5.2343 3.7112
angles: 90.00 90.00 90.00
Fractional positions:
Sb  0.0000  0.0000  0.0000
As  0.5000  0.5000  0.5000
Se  0.0000  0.5000  0.5000
Se  0.5000  0.0000  0.5000
N  0.5000  0.5000  0.0000

Output
**Offset from the most stable computed form**: 0 meV/atom
**Raw formation energy**: 3.37 eV per formula unit
**Total moment**: 0.0 μB per cell

VASP calculation (PBE-GGA) on a relaxed structure of K2Ba2IO6.

abc: 6.4918 6.4918 6.6935
angles: 96.69 96.69 118.40
Fractional positions:
K  0.1445  0.8555  0.0000
K  0.8555  0.1445  0.0000
Ba  0.3380  0.6620  0.5000
Ba  0.6620  0.3380  0.5000
I  0.0000  0.0000  0.5000
O  0.0374  0.3023  0.6716
O  0.2032  0.2032  0.3126
O  0.3023  0.0374  0.6716
O  0.6977  0.9626  0.3284
O  0.7968  0.7968  0.6874
O  0.9626  0.6977  0.3284

Output
**Raw formation energy**: -16.82 eV per formula unit
**Total moment**: 0.6 μB per cell

VASP calculation (PBE-GGA) on a relaxed structure of Sm2Se2O.

abc: 8.7810 7.2602 7.2697
angles: 90.00 100.02 90.00
Fractional positions:
Sm  0.0725  0.1504  0.3295
Sm  0.0725  0.3496  0.8295
Sm  0.3559  0.5508  0.2471
Sm  0.3559  0.9492  0.7471
Sm  0.6441  0.0508  0.2529
Sm  0.6441  0.4492  0.7529
Sm  0.9275  0.6504  0.1705
Sm  0.9275  0.8496  0.6705
Se  0.1823  0.6254  0.5753
Se  0.1823  0.8746  0.0753
Se  0.4236  0.2214  0.4704
Se  0.4236  0.2786  0.9704
Se  0.5764  0.7214  0.0296
Se  0.5764  0.7786  0.5296
Se  0.8177  0.1254  0.9247
Se  0.8177  0.3746  0.4247
O  0.1135  0.0851  0.6497
O  0.1135  0.4149  0.1497
O  0.8865  0.5851  0.8503
O  0.8865  0.9149  0.3503

Output
**Offset from the most stable computed form**: 0 meV/atom
**Raw formation energy**: -12.31 eV per formula unit
**Total moment**: 0.0 μB per cell

VASP calculation (PBE-GGA) on a relaxed structure of TmPa2Co.

abc: 9.1070 9.1070 9.1070
angles: 22.27 22.27 22.27
Fractional positions:
Tm  0.0000  0.0000  0.0000
Pa  0.2299  0.2299  0.2299
Pa  0.7701  0.7701  0.7701
Co  0.5000  0.5000  0.5000

Output
**E_tot**: -7.651 eV per atom
**Total moment**: 0.0 μB per cell

VASP calculation (PBE-GGA) on a relaxed structure of Ho3GeBi.

abc: 7.9154 7.9154 12.2380
angles: 108.62 108.62 58.42
Fractional positions:
Ho  0.1134  0.2401  0.3726
Ho  0.1816  0.6890  0.9468
Ho  0.2401  0.1134  0.8726
Ho  0.2977  0.4202  0.2028
Ho  0.3110  0.8184  0.5532
Ho  0.4202  0.2977  0.7028
Ho  0.5798  0.7023  0.2972
Ho  0.6890  0.1816  0.4468
Ho  0.7023  0.5798  0.7972
Ho  0.7599  0.8866  0.1274
Ho  0.8184  0.3110  0.0532
Ho  0.8866  0.7599  0.6274
Ge  0.0000  0.5000  0.0000
Ge  0.2779  0.7221  0.7500
Ge  0.5000  0.0000  0.5000
Ge  0.7221  0.2779  0.2500
Bi  0.0096  0.2960  0.6247
Bi  0.2960  0.0096  0.1247
Bi  0.7040  0.9904  0.8753
Bi  0.9904  0.7040  0.3753

Output
**E_tot**: -4.974 eV per atom
**Total moment**: 1.9 μB per cell

VASP calculation (PBE-GGA) on a relaxed structure of NpVSiOs.

abc: 4.4986 4.4986 4.4986
angles: 60.00 60.00 60.00
Fractional positions:
Np  0.0000  0.0000  0.0000
V  0.7500  0.7500  0.7500
Si  0.2500  0.2500  0.2500
Os  0.5000  0.5000  0.5000

Output
**Raw formation energy**: 0.97 eV per formula unit
**Total moment**: 4.2 μB per cell